1.
Below is a relaxed AlRe3 crystal, with properties calculated at the PBE-GGA level.

Summary:
ΔE_f = -39 meV per atom

Unit cell a=9.0126 b=9.0126 c=9.0126 alpha=17.80 beta=17.80 gamma=17.80
Last column: nearest neighbours and their distance in Å.
Atoms (fractional coordinates):
Re 0.7505 0.7505 0.7505  9 Re 2.73-2.79, 3 Al 2.75
Re 0.5000 0.5000 0.5000  12 Re 2.73-2.79
Re 0.2495 0.2495 0.2495  9 Re 2.73-2.79, 3 Al 2.75
Al 0.0000 0.0000 0.0000  6 Re 2.75, 6 Al 2.79

=====

2.
Below is a relaxed Hg2TeMo crystal, with properties calculated at the PBE-GGA level.

Summary:
Formation energy (no corrections) = 0.30 eV/atom

Unit cell a=5.0474 b=5.0474 c=8.5899 alpha=58.44 beta=58.44 gamma=37.72
Last column: nearest neighbours and their distance in Å.
Atoms (fractional coordinates):
Hg 0.0892 0.0892 0.0444  2 Mo 2.90, 2 Hg 2.92
Hg 0.7596 0.7596 0.7054  2 Mo 2.90, 2 Hg 2.92
Mo 0.4674 0.4674 0.3751  3 Te 2.63-2.71, 4 Hg 2.90
Te 0.1838 0.1838 0.3751  3 Mo 2.63-2.71

=====

3.
Below is a relaxed La3Nd4ThS8 crystal, with properties calculated at the PBE-GGA level.

Summary:
Formation energy (no corrections) = -2.05 eV/atom

Unit cell a=8.2022 b=8.1852 c=8.2019 alpha=120.07 beta=120.00 gamma=90.00
Last column: nearest neighbours and their distance in Å.
Atoms (fractional coordinates):
La 0.5000 0.5000 0.0000  6 S 2.92
La 0.5000 0.5000 0.5000  6 S 2.92
La 0.0000 0.5000 0.5000  6 S 2.92
Nd 0.5000 0.0000 0.0000  6 S 2.91
Nd 0.5000 0.0000 0.5000  6 S 2.88
Nd 0.0000 0.0000 0.0000  6 S 2.88
Nd 0.0000 0.0000 0.5000  6 S 2.88
Th 0.0000 0.5000 0.0000  6 S 2.88
S 0.2486 0.7520 0.0035  3 Nd 2.88-2.91, 1 Th 2.88, 2 La 2.92
S 0.2486 0.7520 0.4971  3 Nd 2.88-2.91, 1 Th 2.88, 2 La 2.92
S 0.2483 0.2450 0.4967  3 Nd 2.88, 3 La 2.92
S 0.7549 0.7520 0.0035  3 Nd 2.88-2.91, 1 Th 2.88, 2 La 2.92
S 0.2451 0.2480 0.9965  3 Nd 2.88-2.91, 1 Th 2.88, 2 La 2.92
S 0.7517 0.7550 0.5033  3 Nd 2.88, 3 La 2.92
S 0.7514 0.2480 0.5029  3 Nd 2.88-2.91, 1 Th 2.88, 2 La 2.92
S 0.7514 0.2480 0.9965  3 Nd 2.88-2.91, 1 Th 2.88, 2 La 2.92

=====

4.
Below is a relaxed Cs5Ti2S6 crystal, with properties calculated at the PBE-GGA level.

Summary:
Formation energy (no corrections) = -1.38 eV/atom

Unit cell a=8.0120 b=8.0120 c=17.9677 alpha=80.09 beta=80.09 gamma=65.57
Last column: nearest neighbours and their distance in Å.
Atoms (fractional coordinates):
Cs 0.6795 0.2015 0.9973  5 S 3.58-3.86
Cs 0.7985 0.3205 0.5027  5 S 3.58-3.86
Cs 0.3205 0.7985 0.0027  5 S 3.58-3.86
Cs 0.2015 0.6795 0.4973  5 S 3.58-3.86
Cs 0.7625 0.9226 0.7198  5 S 3.43-3.53
Cs 0.0774 0.2375 0.7802  5 S 3.43-3.53
Cs 0.2375 0.0774 0.2802  5 S 3.43-3.53
Cs 0.9226 0.7625 0.2198  5 S 3.43-3.53
Cs 0.3828 0.6172 0.7500  4 S 3.57-3.58
Cs 0.6172 0.3828 0.2500  4 S 3.57-3.58
Ti 0.3740 0.0823 0.5698  4 S 2.26-2.37
Ti 0.9177 0.6260 0.9302  4 S 2.26-2.37
Ti 0.6260 0.9177 0.4302  4 S 2.26-2.37
Ti 0.0823 0.3740 0.0698  4 S 2.26-2.37
S 0.1338 0.0078 0.6243  1 Ti 2.26
S 0.9922 0.8662 0.8757  1 Ti 2.26
S 0.8662 0.9922 0.3757  1 Ti 2.26
S 0.0078 0.1338 0.1243  1 Ti 2.26
S 0.4079 0.2861 0.6342  1 Ti 2.28
S 0.7139 0.5921 0.8658  1 Ti 2.28
S 0.5921 0.7139 0.3658  1 Ti 2.28
S 0.2861 0.4079 0.1342  1 Ti 2.28
S 0.6452 0.8089 0.5602  2 Ti 2.36-2.37
S 0.1911 0.3548 0.9398  2 Ti 2.36-2.37
S 0.3548 0.1911 0.4398  2 Ti 2.36-2.37
S 0.8089 0.6452 0.0602  2 Ti 2.36-2.37

=====

5.
Below is a relaxed CePm2SmTm4 crystal, with properties calculated at the PBE-GGA level.

Summary:
ΔE_f = 41 meV per atom

Unit cell a=3.5512 b=6.1622 c=11.6715 alpha=79.86 beta=90.00 gamma=90.00
Last column: nearest neighbours and their distance in Å.
Atoms (fractional coordinates):
Ce 0.0000 0.5000 0.5000  6 Tm 3.50-3.51, 2 Ce 3.55, 4 Pm 3.56
Pm 0.0000 0.0000 0.0000  6 Tm 3.55-3.56, 2 Pm 3.55, 4 Sm 3.56
Pm 0.5000 0.0000 0.5000  6 Tm 3.52-3.53, 2 Pm 3.55, 4 Ce 3.56
Sm 0.5000 0.5000 0.0000  6 Tm 3.53-3.54, 2 Sm 3.55, 4 Pm 3.56
Tm 0.0000 0.7471 0.7491  1 Ce 3.51, 6 Tm 3.52-3.59, 3 Pm 3.53-3.55, 2 Sm 3.53
Tm 0.0000 0.2529 0.2509  1 Ce 3.51, 6 Tm 3.52-3.59, 3 Pm 3.53-3.55, 2 Sm 3.53
Tm 0.5000 0.7458 0.2527  2 Ce 3.50, 3 Pm 3.52-3.56, 6 Tm 3.52-3.59, 1 Sm 3.54
Tm 0.5000 0.2542 0.7473  2 Ce 3.50, 3 Pm 3.52-3.56, 6 Tm 3.52-3.59, 1 Sm 3.54

=====

6.
Below is a relaxed Sm3Ga4Sn2 crystal, with properties calculated at the PBE-GGA level.

Summary:
ΔE_f = -631 meV per atom

Unit cell a=4.3823 b=6.1822 c=8.7460 alpha=100.51 beta=90.00 gamma=110.76
Last column: nearest neighbours and their distance in Å.
Atoms (fractional coordinates):
Sm 0.6641 0.3282 0.6707  3 Ga 2.99-3.00, 3 Sn 3.20-3.22
Sm 0.0000 0.0000 0.0000  8 Ga 3.13-3.50, 4 Sn 3.50
Sm 0.3359 0.6718 0.3293  3 Ga 2.99-3.00, 3 Sn 3.20-3.22
Ga 0.7004 0.4007 0.0202  2 Ga 2.53, 1 Sn 2.69
Ga 0.2996 0.5993 0.9798  2 Ga 2.53, 1 Sn 2.69
Ga 0.9848 0.9696 0.6386  1 Ga 2.52, 2 Sn 2.69
Ga 0.0152 0.0304 0.3614  1 Ga 2.52, 2 Sn 2.69
Sn 0.6310 0.2620 0.2962  3 Ga 2.69
Sn 0.3690 0.7380 0.7038  3 Ga 2.69

=====

7.
Below is a relaxed Sn2GeP2 crystal, with properties calculated at the PBE-GGA level.

Summary:
ΔE_f = 245 meV per atom

Unit cell a=7.5575 b=7.5575 c=3.7866 alpha=90.00 beta=90.00 gamma=90.00
Last column: nearest neighbours and their distance in Å.
Atoms (fractional coordinates):
P 0.3336 0.8336 0.0000  2 Sn 2.72, 2 Ge 2.82
P 0.8336 0.6664 0.0000  2 Sn 2.72, 2 Ge 2.82
P 0.6664 0.1664 0.0000  2 Sn 2.72, 2 Ge 2.82
P 0.1664 0.3336 0.0000  2 Sn 2.72, 2 Ge 2.82
Ge 0.0000 0.0000 0.0000  4 P 2.82
Ge 0.5000 0.5000 0.0000  4 P 2.82
Sn 0.1510 0.6510 0.5000  2 P 2.72
Sn 0.6510 0.8490 0.5000  2 P 2.72
Sn 0.8490 0.3490 0.5000  2 P 2.72
Sn 0.3490 0.1510 0.5000  2 P 2.72

=====

8.
Below is a relaxed Pr2Ni3Sn5 crystal, with properties calculated at the PBE-GGA level.

Summary:
ΔE_f = -517 meV per atom
Relative energy among the computed polymorphs = 0 kJ/mol of formula units

Unit cell a=6.4418 b=8.8840 c=8.8840 alpha=72.86 beta=68.74 gamma=68.74
Last column: nearest neighbours and their distance in Å.
Atoms (fractional coordinates):
Pr 0.1421 0.5936 0.1221  10 Sn 3.14-3.50, 3 Ni 3.29-3.50
Pr 0.6421 0.1221 0.5936  10 Sn 3.14-3.50, 3 Ni 3.29-3.50
Pr 0.8579 0.4064 0.8779  10 Sn 3.14-3.50, 3 Ni 3.29-3.50
Pr 0.3579 0.8779 0.4064  10 Sn 3.14-3.50, 3 Ni 3.29-3.50
Ni 0.3641 0.5302 0.7415  5 Sn 2.50-2.62
Ni 0.8641 0.7415 0.5302  5 Sn 2.50-2.62
Ni 0.6359 0.4698 0.2585  5 Sn 2.50-2.62
Ni 0.1359 0.2585 0.4698  5 Sn 2.50-2.62
Ni 0.2500 0.0000 0.0000  4 Sn 2.63
Ni 0.7500 0.0000 0.0000  4 Sn 2.63
Sn 0.4101 0.2539 0.9258  3 Ni 2.50-2.63
Sn 0.9101 0.9258 0.2539  3 Ni 2.50-2.63
Sn 0.5899 0.7461 0.0742  3 Ni 2.50-2.63
Sn 0.0899 0.0742 0.7461  3 Ni 2.50-2.63
Sn 0.4835 0.7665 0.7665  2 Ni 2.57
Sn 0.5165 0.2335 0.2335  2 Ni 2.57
Sn 0.7500 0.5000 0.5000  4 Ni 2.62
Sn 0.2500 0.5000 0.5000  4 Ni 2.62
Sn 0.0165 0.2335 0.2335  2 Ni 2.57
Sn 0.9835 0.7665 0.7665  2 Ni 2.57